Computed, not measured: crystalline Ba2Na2Bi2Cl at its relaxed geometry at the PBE level of DFT.

Computed properties:
The total energy comes out at -45.9 eV per cell. The spin magnetization comes out at 0.00 μB per cell. The formation energy (no corrections) is -0.98 eV/atom.

Lattice parameters (Å, degrees): 5.1978 5.1978 18.9163 90.00 90.00 90.00
Closest atoms and distances in Å follow each position.
Space group I4/mmm (No. 139)
Asymmetric unit:
1 Ba 0.0000 0.0000 0.1701 [4 per cell]  1 Cl 3.22
2 Na 0.0000 0.5000 0.0000 [4 per cell]  2 Cl 2.60
3 Bi 0.0000 0.0000 0.3651 [4 per cell]  4 Na 3.64, 5 Ba 3.69-3.74
4 Cl 0.0000 0.0000 0.0000 [2 per cell]  4 Na 2.60

---

Computed, not measured: crystalline Ba2NbBiCl at its relaxed geometry at the PBE level of DFT.

Computed properties:
The total energy comes out at -17.2 eV per cell. The spin magnetization comes out at 4.92 μB per cell. The formation energy (no corrections) is 0.50 eV/atom.

Lattice parameters (Å, degrees): 6.8400 6.8400 5.4856 90.00 90.00 90.00
Closest atoms and distances in Å follow each position.
Space group P4/mmm (No. 123)
Asymmetric unit:
1 Ba 0.0000 0.5000 0.0000 [2 per cell]  2 Bi 3.42
2 Nb 0.0000 0.0000 0.5000 [1 per cell]  8 Ba 4.38, 4 Cl 4.84
3 Bi 0.5000 0.5000 0.0000 [1 per cell]  2 Cl 2.74
4 Cl 0.5000 0.5000 0.5000 [1 per cell]  2 Bi 2.74

---

Computed, not measured: crystalline BaNiBiCl2 at its relaxed geometry at the PBE level of DFT.

Computed properties:
The total energy comes out at -19.1 eV per cell. The spin magnetization comes out at 0.00 μB per cell. The formation energy (no corrections) is -0.76 eV/atom.

Lattice parameters (Å, degrees): 5.0069 5.0069 5.2766 90.00 90.00 90.00
Closest atoms and distances in Å follow each position.
Space group P4/mmm (No. 123)
Asymmetric unit:
1 Ba 0.0000 0.0000 0.0000 [1 per cell]  4 Bi 3.54, 8 Cl 3.64
2 Ni 0.5000 0.5000 0.5000 [1 per cell]  4 Cl 2.50, 2 Bi 2.64
3 Bi 0.5000 0.5000 0.0000 [1 per cell]  2 Ni 2.64
4 Cl 0.0000 0.5000 0.5000 [2 per cell]  2 Ni 2.50

---

Computed, not measured: crystalline Ba3BiCl3O3 at its relaxed geometry at the PBE level of DFT.

Computed properties:
The total energy comes out at -213.4 eV per cell. The spin magnetization comes out at 0.00 μB per cell. The formation energy (no corrections) is -2.33 eV/atom.

Lattice parameters (Å, degrees): 7.1396 12.1766 12.6461 90.00 90.00 90.00
Closest atoms and distances in Å follow each position.
Space group Pnma (No. 62)
Asymmetric unit:
1 Ba 0.1512 0.2500 0.0353 [4 per cell]  3 O 2.62-2.69
2 Ba 0.1676 0.0665 0.3851 [8 per cell]  3 O 2.60-2.75
3 Bi 0.0983 0.2500 0.6146 [4 per cell]  3 O 2.10-2.12
4 Cl 0.0835 0.7500 0.7328 [4 per cell]  6 Ba 3.13-3.44, 1 O 3.35
5 Cl 0.1037 0.5051 0.1389 [8 per cell]  3 Ba 3.25-3.39, 1 O 3.63
6 O 0.0716 0.6264 0.4541 [8 per cell]  1 Bi 2.12
7 O 0.2132 0.7500 0.9873 [4 per cell]  1 Bi 2.10

---

Computed, not measured: crystalline BaBi4Cl2O6 at its relaxed geometry at the PBE level of DFT.

Computed properties:
The total energy comes out at -138.5 eV per cell. The spin magnetization comes out at 0.00 μB per cell. The formation energy (no corrections) is -1.41 eV/atom.

Lattice parameters (Å, degrees): 3.9992 3.9992 33.0293 90.00 90.00 90.00
Closest atoms and distances in Å follow each position.
Space group I4/mmm (No. 139)
Asymmetric unit:
1 Ba 0.0000 0.0000 0.0000 [2 per cell]  8 O 2.74
2 Bi 0.0000 0.0000 0.2873 [4 per cell]  4 O 2.35
3 Bi 0.0000 0.0000 0.4142 [4 per cell]  4 O 2.22
4 Cl 0.0000 0.0000 0.1702 [4 per cell]  4 Bi 3.16, 4 O 3.31
5 O 0.0000 0.5000 0.0567 [8 per cell]  2 Bi 2.22
6 O 0.0000 0.5000 0.2500 [4 per cell]  4 Bi 2.35

---

Computed, not measured: crystalline Ba2BiOsCl at its relaxed geometry at the PBE level of DFT.

Computed properties:
The total energy comes out at -17.2 eV per cell. Its energy above the most stable polymorph in this dataset is 0.665 eV/atom. The spin magnetization comes out at 2.21 μB per cell. The formation energy (no corrections) is 0.72 eV/atom.

Lattice parameters (Å, degrees): 6.7456 6.7456 5.4476 90.00 90.00 90.00
Closest atoms and distances in Å follow each position.
Space group P4/mmm (No. 123)
Asymmetric unit:
1 Ba 0.0000 0.5000 0.0000 [2 per cell]  2 Bi 3.37
2 Bi 0.0000 0.0000 0.0000 [1 per cell]  2 Cl 2.72
3 Os 0.5000 0.5000 0.5000 [1 per cell]  8 Ba 4.34, 4 Cl 4.77
4 Cl 0.0000 0.0000 0.5000 [1 per cell]  2 Bi 2.72

---

Computed, not measured: crystalline Ba2BiOsCl at its relaxed geometry at the PBE level of DFT.

Computed properties:
The total energy comes out at -20.5 eV per cell. Its energy above the most stable polymorph in this dataset is 0.000 eV/atom. The spin magnetization comes out at 0.51 μB per cell. The formation energy (no corrections) is 0.06 eV/atom.

Lattice parameters (Å, degrees): 6.7232 6.7232 5.0043 90.00 90.00 90.00
Closest atoms and distances in Å follow each position.
Space group P4/mmm (No. 123)
Asymmetric unit:
1 Ba 0.0000 0.5000 0.0000 [2 per cell]  2 Bi 3.36
2 Bi 0.0000 0.0000 0.0000 [1 per cell]  2 Os 2.50
3 Os 0.0000 0.0000 0.5000 [1 per cell]  2 Bi 2.50
4 Cl 0.5000 0.5000 0.5000 [1 per cell]  8 Ba 4.19

---

Computed, not measured: crystalline Ba4BiPCl2 at its relaxed geometry at the PBE level of DFT.

Computed properties:
The total energy comes out at -33.2 eV per cell. The spin magnetization comes out at 0.00 μB per cell. The formation energy (no corrections) is -1.56 eV/atom.

Lattice parameters (Å, degrees): 8.2270 4.8460 8.4591 90.00 110.27 90.00
Closest atoms and distances in Å follow each position.
Space group P2/m (No. 10)
Asymmetric unit:
1 Ba 0.2286 0.0000 0.2302 [2 per cell]  2 P 3.27, 1 Bi 3.42, 3 Cl 3.43-3.54
2 Ba 0.2344 0.5000 0.7638 [2 per cell]  1 P 3.22, 2 Bi 3.40, 2 Cl 3.41
3 Bi 0.0000 0.0000 0.5000 [1 per cell]  6 Ba 3.40-3.42
4 P 0.0000 0.5000 0.0000 [1 per cell]  6 Ba 3.22-3.27
5 Cl 0.5000 0.0000 0.0000 [1 per cell]  6 Ba 3.41-3.43
6 Cl 0.5000 0.5000 0.5000 [1 per cell]  6 Ba 3.54-3.62

---

Computed, not measured: crystalline BaBiPCl2 at its relaxed geometry at the PBE level of DFT.

Computed properties:
The total energy comes out at -16.1 eV per cell. Its energy above the most stable polymorph in this dataset is 0.587 eV/atom. The spin magnetization comes out at 1.45 μB per cell. The formation energy (no corrections) is -0.24 eV/atom.

Lattice parameters (Å, degrees): 5.6670 5.6670 6.5262 90.00 90.00 90.00
Closest atoms and distances in Å follow each position.
Space group P4/mmm (No. 123)
Asymmetric unit:
1 Ba 0.0000 0.0000 0.0000 [1 per cell]  4 Cl 2.83
2 Bi 0.5000 0.5000 0.5000 [1 per cell]  4 P 4.01, 8 Cl 4.32
3 P 0.0000 0.0000 0.5000 [1 per cell]  2 Ba 3.26
4 Cl 0.0000 0.5000 0.0000 [2 per cell]  2 Ba 2.83

---

Computed, not measured: crystalline Ba6BiP2Cl3 at its relaxed geometry at the PBE level of DFT.

Computed properties:
The total energy comes out at -101.9 eV per cell. The spin magnetization comes out at 0.00 μB per cell. The formation energy (no corrections) is -1.60 eV/atom.

Lattice parameters (Å, degrees): 20.8676 4.7813 9.5185 90.00 102.24 90.00
Closest atoms and distances in Å follow each position.
Space group C2/m (No. 12)
Asymmetric unit:
1 Ba 0.0114 0.0000 0.2587 [4 per cell]  1 P 3.20, 2 Cl 3.36, 2 Bi 3.40
2 Ba 0.1681 0.5000 0.1116 [4 per cell]  2 P 3.24, 3 Cl 3.30-3.57, 1 Bi 3.44
3 Ba 0.1752 0.5000 0.5710 [4 per cell]  3 P 3.19-3.22, 3 Cl 3.48-3.57
4 Bi 0.0000 0.5000 0.0000 [2 per cell]  6 Ba 3.40-3.44
5 P 0.1684 0.0000 0.3410 [4 per cell]  6 Ba 3.19-3.24
6 Cl 0.0000 0.5000 0.5000 [2 per cell]  6 Ba 3.36-3.57
7 Cl 0.1705 0.0000 0.8338 [4 per cell]  5 Ba 3.30-3.57

---

Computed, not measured: crystalline BaBiPCl2 at its relaxed geometry at the PBE level of DFT.

Computed properties:
The total energy comes out at -19.0 eV per cell. Its energy above the most stable polymorph in this dataset is 0.000 eV/atom. The spin magnetization comes out at 0.00 μB per cell. The formation energy (no corrections) is -0.83 eV/atom.

Lattice parameters (Å, degrees): 5.5280 5.5280 5.3790 90.00 90.00 90.00
Closest atoms and distances in Å follow each position.
Space group P4/mmm (No. 123)
Asymmetric unit:
1 Ba 0.0000 0.0000 0.0000 [1 per cell]  8 Cl 3.86, 4 P 3.91
2 Bi 0.5000 0.5000 0.5000 [1 per cell]  2 P 2.69, 4 Cl 2.76
3 P 0.5000 0.5000 0.0000 [1 per cell]  2 Bi 2.69
4 Cl 0.0000 0.5000 0.5000 [2 per cell]  2 Bi 2.76

---

Computed, not measured: crystalline BaBiPd2Cl at its relaxed geometry at the PBE level of DFT.

Computed properties:
The total energy comes out at -18.2 eV per cell. The spin magnetization comes out at 0.00 μB per cell. The formation energy (no corrections) is -0.03 eV/atom.

Lattice parameters (Å, degrees): 4.9061 4.9061 5.8189 90.00 90.00 90.00
Closest atoms and distances in Å follow each position.
Space group P4/mmm (No. 123)
Asymmetric unit:
1 Ba 0.0000 0.0000 0.0000 [1 per cell]  4 Bi 3.47, 8 Pd 3.81
2 Bi 0.5000 0.5000 0.0000 [1 per cell]  2 Cl 2.91
3 Pd 0.0000 0.5000 0.5000 [2 per cell]  2 Cl 2.45
4 Cl 0.5000 0.5000 0.5000 [1 per cell]  4 Pd 2.45

---

- What is the spin magnetization in the first record?
  0.00 μB per cell

---

- Which formula does entry 4 have?
  Ba3BiCl3O3

---

- spin magnetization of number 8 (Ba4BiPCl2)?
  0.00 μB per cell